No. 1
# Pm2DySc

A geometry-optimized Pm2DySc structure (GGA-PBE, the Alexandria database).

```
Pm2DySc
1.0
5.015 0.000 0.000
0.000 5.015 0.000
0.000 0.000 4.917
Pm Dy Sc
2 1 1
direct
0.000 0.500 0.000
0.500 0.000 0.000
0.000 0.000 0.500
0.500 0.500 0.500
```

## Properties
The value obtained for the total energy is -5.070 eV/atom. The space-group type is P4/mmm, No. 123. The value obtained for the density of states at the Fermi level is 5.87 states/eV per cell. The value obtained for the density is 6.68 g cm⁻³. Its distance to the lowest polymorph of the same formula is 0.0 meV per atom.

No. 2
# PmDy2Sc4

A geometry-optimized PmDy2Sc4 structure (GGA-PBE, the Alexandria database).

```
PmDy2Sc4
1.0
6.746 0.000 0.000
-1.723 8.013 0.000
-1.683 -3.874 7.214
Pm Dy Sc
2 4 8
direct
0.000 0.000 0.000
0.307 0.664 0.548
0.216 0.139 0.704
0.527 0.828 0.261
0.805 0.666 0.537
0.882 0.406 0.123
0.031 0.831 0.274
0.108 0.561 0.869
0.390 0.408 0.135
0.418 0.234 0.408
0.504 0.012 0.999
0.612 0.560 0.867
0.706 0.126 0.693
0.912 0.236 0.411
```

## Properties
The value obtained for the total energy is -5.553 eV/atom. The space-group type is P1, No. 1. The value obtained for the density of states at the Fermi level is 24.17 states/eV per cell. The value obtained for the density is 5.53 g cm⁻³. Its distance to the lowest polymorph of the same formula is 0.0 meV per atom.

No. 3
# PmDySc4

A geometry-optimized PmDySc4 structure (GGA-PBE, the Alexandria database).

```
PmDySc4
1.0
6.169 0.000 0.000
0.000 6.626 0.000
-1.934 0.000 8.042
Pm Dy Sc
2 2 8
direct
0.142 0.250 0.346
0.858 0.750 0.654
0.275 0.750 0.994
0.725 0.250 0.006
0.120 0.750 0.359
0.235 0.250 0.979
0.402 0.004 0.686
0.402 0.496 0.686
0.598 0.504 0.314
0.598 0.996 0.314
0.765 0.750 0.021
0.880 0.250 0.641
```

## Properties
The value obtained for the total energy is -5.642 eV/atom. The space-group type is P2_1/m, No. 11. The value obtained for the density of states at the Fermi level is 18.12 states/eV per cell. The value obtained for the density is 4.92 g cm⁻³. Its distance to the lowest polymorph of the same formula is 69.6 meV per atom.

No. 4
# Pm2DySc3

A geometry-optimized Pm2DySc3 structure (GGA-PBE, the Alexandria database).

```
Pm2DySc3
1.0
4.903 -5.525 0.000
4.903 5.525 0.000
-2.686 0.000 6.439
Pm Dy Sc
4 2 6
direct
0.060 0.592 0.764
0.408 0.940 0.736
0.592 0.060 0.264
0.940 0.408 0.236
0.500 0.500 0.000
0.500 0.500 0.500
0.149 0.180 0.528
0.180 0.149 0.028
0.211 0.789 0.250
0.789 0.211 0.750
0.820 0.851 0.972
0.851 0.820 0.472
```

## Properties
The value obtained for the total energy is -5.309 eV/atom. The space-group type is C2/c, No. 15. The value obtained for the density of states at the Fermi level is 20.26 states/eV per cell. The value obtained for the density is 5.59 g cm⁻³. Its distance to the lowest polymorph of the same formula is 0.0 meV per atom.

No. 5
# Pm5Dy2Sc2

A geometry-optimized Pm5Dy2Sc2 structure (GGA-PBE, the Alexandria database).

```
Pm5Dy2Sc2
1.0
9.889 -1.735 0.000
9.889 1.735 0.000
-1.897 0.000 8.346
Pm Dy Sc
5 2 2
direct
0.000 0.000 0.000
0.219 0.219 0.647
0.338 0.338 0.016
0.662 0.662 0.984
0.781 0.781 0.353
0.055 0.055 0.662
0.945 0.945 0.338
0.402 0.402 0.650
0.598 0.598 0.350
```

## Properties
The value obtained for the total energy is -4.951 eV/atom. The space-group type is C2/m, No. 12. The value obtained for the density of states at the Fermi level is 15.12 states/eV per cell. The value obtained for the density is 6.61 g cm⁻³. Its distance to the lowest polymorph of the same formula is 0.0 meV per atom.

No. 6
# Pm3Dy3Sc

A geometry-optimized Pm3Dy3Sc structure (GGA-PBE, the Alexandria database).

```
Pm3Dy3Sc
1.0
3.101 1.790 13.905
-3.101 1.790 13.905
0.000 -3.580 13.905
Pm Dy Sc
6 6 2
direct
0.063 0.730 0.396
0.270 0.604 0.937
0.396 0.063 0.730
0.604 0.937 0.270
0.730 0.396 0.063
0.937 0.270 0.604
0.132 0.465 0.800
0.200 0.868 0.535
0.465 0.800 0.132
0.535 0.200 0.868
0.800 0.132 0.465
0.868 0.535 0.200
0.333 0.333 0.333
0.667 0.667 0.667
```

## Properties
The value obtained for the total energy is -4.764 eV/atom. The space-group type is R-3, No. 148. The value obtained for the density of states at the Fermi level is 19.97 states/eV per cell. The value obtained for the density is 6.94 g cm⁻³. Its distance to the lowest polymorph of the same formula is 117.1 meV per atom.

| no. | energy relative to the elements (eV per atom) |
| --- | --- |
| 1 | 0.04 |
| 2 | 0.06 |
| 3 | 0.14 |
| 4 | 0.21 |
| 5 | 0.12 |
| 6 | 0.15 |